Be2Sn2GeRh5 | PBE | relaxed

DFT formation energy: -0.443 eV/atom
Total magnetic moment: 0.0 μB per formula unit
D(E_F): 4.8 states/eV/f.u.
Crystal system: tetragonal

```
Be2Sn2GeRh5
1.0
-2.012 -2.348 -1.018
4.337 -0.123 -8.286
5.938 -6.478 3.204
Be Rh Ge Sn
4 10 2 4
Cartesian
7.905 -5.740 -2.384
6.014 -2.531 -6.044
2.370 -0.861 -2.697
4.262 -4.069 0.963
4.507 -3.961 -4.975
4.160 -2.584 -7.465
4.103 -6.365 1.366
1.163 -1.235 -4.652
1.963 -4.413 1.093
2.582 -3.167 -3.004
3.756 -4.987 -1.125
7.908 -7.212 -4.198
0.356 -1.737 -1.902
5.681 -5.781 -3.096
5.138 -3.300 -2.541
0.000 0.000 0.000
2.695 -2.153 -0.361
6.351 -5.411 -0.070
7.580 -4.447 -4.720
3.924 -1.189 -5.011
```